Computed, not measured: a crystal of CaY2Al relaxed with PBEsol at the meta-GGA SCAN level of DFT.

Cell lengths 3.667, 5.377, 11.498 Å; angles 90.00, 90.00, 90.00 degrees
Space group Immm (No. 71)
Symmetry-distinct sites (fractional):
Ca 0.000 0.000 0.000
Y 0.000 0.500 0.212
Al 0.000 0.000 0.500

Calculated formation energy ... -0.141 eV per atom
DFT total energy ... -18.42 eV/atom